1.
{"formula": "Tc2BPdAu", "functional": "PBE-GGA", "state": "optimized geometry", "lattice_angstrom": [[4.8531, 0.0000, 0.0000], [0.0000, 4.8531, 0.0000], [0.0000, 0.0000, 4.9994]], "species": ["Tc", "Tc", "B", "Pd", "Au"], "frac_coords": [[0.0000, 0.5000, 0.0000], [0.5000, 0.0000, 0.0000], [0.0000, 0.0000, 0.5000], [0.5000, 0.5000, 0.0000], [0.5000, 0.5000, 0.5000]], "e_form_ev_per_atom": 2.53, "final_energy_ev_per_cell": -23.249}


2.
{"formula": "PmEuSn4", "functional": "PBE-GGA", "state": "optimized geometry", "lattice_angstrom": [[0.0000, 4.4190, 4.4190], [4.4190, 0.0000, 4.4190], [4.4190, 4.4190, 0.0000]], "species": ["Pm", "Eu", "Sn", "Sn", "Sn", "Sn"], "frac_coords": [[0.0000, 0.0000, 0.0000], [0.7500, 0.7500, 0.7500], [0.3746, 0.3746, 0.3746], [0.3746, 0.3746, 0.8761], [0.3746, 0.8761, 0.3746], [0.8761, 0.3746, 0.3746]], "e_form_ev_per_atom": -0.40, "final_energy_ev_per_cell": -33.412}


3.
{"formula": "CuAg4Rh", "functional": "PBE-GGA", "state": "optimized geometry", "lattice_angstrom": [[0.0000, 3.7698, 3.7698], [3.7698, 0.0000, 3.7698], [3.7698, 3.7698, 0.0000]], "species": ["Cu", "Ag", "Ag", "Ag", "Ag", "Rh"], "frac_coords": [[0.0000, 0.0000, 0.0000], [0.3751, 0.3751, 0.3751], [0.3751, 0.3751, 0.8748], [0.3751, 0.8748, 0.3751], [0.8748, 0.3751, 0.3751], [0.7500, 0.7500, 0.7500]], "e_form_ev_per_atom": 0.49, "final_energy_ev_per_cell": -19.933}